Computed, not measured: crystalline LiTa2TiI at its relaxed geometry at the GGA-PBE level of DFT.

Cell and atoms, written as CIF:
```
data_LiTa2TiI
_symmetry_space_group_name_H-M 'P 4/m m m'
_symmetry_Int_Tables_number 123
_symmetry_space_group_name_Hall '-P 4 2'
_cell_length_a 5.076
_cell_length_b 5.076
_cell_length_c 4.422
_cell_angle_alpha 90.00
_cell_angle_beta 90.00
_cell_angle_gamma 90.00
loop_
_atom_site_label
_atom_site_fract_x
_atom_site_fract_y
_atom_site_fract_z
Li1 0.000 0.000 0.000
Ta1 0.000 0.500 0.500
Ti1 0.500 0.500 0.000
I1 0.000 0.000 0.500
```

Values from the calculation:
Uncorrected formation energy = 1530 meV/atom
Crystal system = tetragonal
Calculated density = 7923 kg/m³
DFT total energy = -5.4831 eV per atom